[1]
Entry from Alexandria via LeMat-Bulk: a relaxed structure of ZrSiW4 (PBE).

The structure belongs to space group F-43m (No. 216); the cell edges are 7.521, 7.521 and 7.521 Å and the angles 90.00°, 90.00° and 90.00°. The inequivalent atoms are Zr at (0.000, 0.000, 0.000), Si at (0.250, 0.250, 0.250) and W at (0.124, 0.124, 0.624).

[2]
Entry from Alexandria via LeMat-Bulk: a relaxed structure of Zr2Si4W3 (PBE).

The structure belongs to space group P2_1/c (No. 14); the cell edges are 6.697, 6.784 and 6.645 Å and the angles 90.00°, 109.25° and 90.00°. The inequivalent atoms are Zr at (0.190, 0.168, 0.062), Si at (0.084, 0.543, 0.860), Si at (0.500, 0.132, 0.870), W at (0.246, 0.661, 0.249) and W at (0.500, 0.000, 0.500).

[3]
Entry from Alexandria via LeMat-Bulk: a relaxed structure of ZrSi2W (PBE).

The value obtained for the energy above the most stable polymorph in this dataset is 0.139 eV/atom.

The structure belongs to space group P2/m (No. 10); the cell edges are 3.025, 3.491 and 6.363 Å and the angles 90.00°, 102.33° and 90.00°. The inequivalent atoms are Zr at (0.000, 0.000, 0.000), Si at (0.454, 0.500, 0.292) and W at (0.000, 0.000, 0.500).

[4]
Entry from Alexandria via LeMat-Bulk: a relaxed structure of ZrSiW (PBE).

The structure belongs to space group P3m1 (No. 156); the cell edges are 2.9691, 2.9691 and 6.8668 Å and the angles 90.00°, 90.00° and 120.00°. The inequivalent atoms are Zr at (0.0000, 0.0000, 0.0000), Si at (0.6667, 0.3333, 0.3412) and W at (0.3333, 0.6667, 0.6296).

[5]
Entry from Alexandria via LeMat-Bulk: a relaxed structure of Zr2SiW (PBE).

The structure belongs to space group Cmm2 (No. 35); the cell edges are 3.578, 4.777 and 8.763 Å and the angles 90.00°, 90.00° and 90.00°. The inequivalent atoms are Zr at (0.000, 0.000, 0.000), Zr at (0.000, 0.500, 0.315), Si at (0.000, 0.000, 0.546) and W at (0.000, 0.500, 0.745).

[6]
Entry from Alexandria via LeMat-Bulk: a relaxed structure of Zr2SiW (PBE).

The structure belongs to space group P4mm (No. 99); the cell edges are 3.411, 3.411 and 6.355 Å and the angles 90.00°, 90.00° and 90.00°. The inequivalent atoms are Zr at (0.000, 0.000, 0.000), Zr at (0.500, 0.500, 0.302), Si at (0.000, 0.000, 0.550) and W at (0.500, 0.500, 0.725).

[7]
Entry from Alexandria via LeMat-Bulk: a relaxed structure of ZrSiW (PBE).

The structure belongs to space group Fmm2 (No. 42); the cell edges are 3.506, 4.696 and 12.475 Å and the angles 90.00°, 90.00° and 90.00°. The inequivalent atoms are Zr at (0.000, 0.000, 0.000), Si at (0.000, 0.000, 0.669) and W at (0.000, 0.000, 0.314).

[8]
Entry from Alexandria via LeMat-Bulk: a relaxed structure of Y3Si (PBE).

The value obtained for the energy above the most stable polymorph in this dataset is 0.264 eV/atom.

The structure belongs to space group Pm-3n (No. 223); the cell edges are 5.918, 5.918 and 5.918 Å and the angles 90.00°, 90.00° and 90.00°. The inequivalent atoms are Y at (0.000, 0.250, 0.500) and Si at (0.000, 0.000, 0.000).

[9]
Entry from Alexandria via LeMat-Bulk: a relaxed structure of Y2Si (PBE).

The structure belongs to space group Cmcm (No. 63); the cell edges are 4.209, 11.494 and 6.433 Å and the angles 90.00°, 90.00° and 90.00°. The inequivalent atoms are Y at (0.000, 0.000, 0.000), Y at (0.000, 0.291, 0.250) and Si at (0.000, 0.386, 0.750).

[10]
Entry from Alexandria via LeMat-Bulk: a relaxed structure of Y3Si (PBE).

The value obtained for the energy above the most stable polymorph in this dataset is 0.273 eV/atom.

The structure belongs to space group R-3m (No. 166, hexagonal axes); the cell edges are 3.6697, 3.6697 and 29.8390 Å and the angles 90.00°, 90.00° and 120.00°. The inequivalent atoms are Y at (0.0000, 0.0000, 0.0000), Y at (0.0000, 0.0000, 0.2314) and Si at (0.0000, 0.0000, 0.5000).

[11]
Entry from Alexandria via LeMat-Bulk: a relaxed structure of Y4Si5 (PBE).

The structure belongs to space group P6_3/mcm (No. 193); the cell edges are 8.6805, 8.6805 and 5.9387 Å and the angles 90.00°, 90.00° and 120.00°. The inequivalent atoms are Y at (0.0000, 0.0000, 0.0000), Y at (0.0000, 0.3831, 0.2500), Si at (0.0000, 0.2887, 0.7500) and Si at (0.3333, 0.6667, 0.0000).

[12]
Entry from Alexandria via LeMat-Bulk: a relaxed structure of Y3Si (PBE).

The value obtained for the energy above the most stable polymorph in this dataset is 0.199 eV/atom.

The structure belongs to space group Pm-3m (No. 221); the cell edges are 4.654, 4.654 and 4.654 Å and the angles 90.00°, 90.00° and 90.00°. The inequivalent atoms are Y at (0.000, 0.000, 0.500) and Si at (0.500, 0.500, 0.500).

[13]
Entry from Alexandria via LeMat-Bulk: a relaxed structure of Y3Si (PBE).

The value obtained for the energy above the most stable polymorph in this dataset is 0.194 eV/atom.

The structure belongs to space group P6_3/mmc (No. 194); the cell edges are 6.7286, 6.7286 and 5.1315 Å and the angles 90.00°, 90.00° and 120.00°. The inequivalent atoms are Y at (0.1772, 0.3543, 0.2500) and Si at (0.3333, 0.6667, 0.7500).

[14]
Entry from Alexandria via LeMat-Bulk: a relaxed structure of Y2Si (PBE).

The structure belongs to space group Pa-3 (No. 205); the cell edges are 6.967, 6.967 and 6.967 Å and the angles 90.00°, 90.00° and 90.00°. The inequivalent atoms are Y at (0.169, 0.169, 0.169) and Si at (0.000, 0.000, 0.500).

no.,theoretical density (g/cm3),formation energy (no corrections) (meV per atom)
1,13.344,298
2,9.861,-550
3,8.378,-228
4,9.602,175
5,8.745,-21
6,8.855,-188
7,9.802,-92
8,4.723,-173
9,4.395,-568
10,4.220,-164
11,4.251,-388
12,4.856,-238
13,4.866,-243
14,4.044,-409